! Pu2CuGe2 PBE optimized geometry; values from VASP
&SYSTEM
  ibrav = 0, nat = 10, ntyp = 3
/
ATOMIC_SPECIES
Pu 244.00 Pu.upf
Cu 63.55 Cu.upf
Ge 72.64 Ge.upf
ATOMIC_POSITIONS crystal
Pu 0.0023 0.0023 0.3270
Pu 0.1868 0.1868 0.0990
Pu 0.8132 0.8132 0.9010
Pu 0.9977 0.9977 0.6730
Cu 0.2757 0.2757 0.6430
Cu 0.7243 0.7243 0.3570
Ge 0.3547 0.3547 0.4365
Ge 0.4905 0.4905 0.1227
Ge 0.5095 0.5095 0.8773
Ge 0.6453 0.6453 0.5635
CELL_PARAMETERS angstrom
5.2331 -2.1777 0.0000
5.2331 2.1777 0.0000
-4.9400 0.0000 9.0710
! * calculated total energy: -87.91 eV per cell
! * volume: 20.67 A^3/atom
! * total magnetization: 22.32 Bohr magnetons per cell
! * ΔH_f (0 K): -0.39 eV/atom

! PuCu4Ge2 PBE optimized geometry; values from VASP
&SYSTEM
  ibrav = 0, nat = 14, ntyp = 3
/
ATOMIC_SPECIES
Pu 244.00 Pu.upf
Cu 63.55 Cu.upf
Ge 72.64 Ge.upf
ATOMIC_POSITIONS crystal
Pu 0.0000 0.0000 0.0000
Pu 0.5000 0.5000 0.5000
Cu 0.0898 0.3481 0.5000
Cu 0.1519 0.5898 0.0000
Cu 0.3481 0.0898 0.5000
Cu 0.4102 0.8481 0.0000
Cu 0.5898 0.1519 0.0000
Cu 0.6519 0.9102 0.5000
Cu 0.8481 0.4102 0.0000
Cu 0.9102 0.6519 0.5000
Ge 0.2152 0.7848 0.5000
Ge 0.2848 0.2848 0.0000
Ge 0.7152 0.7152 0.0000
Ge 0.7848 0.2152 0.5000
CELL_PARAMETERS angstrom
7.4241 0.0000 0.0000
0.0000 7.4241 0.0000
0.0000 0.0000 3.9807
! * calculated total energy: -82.38 eV per cell
! * volume: 15.67 A^3/atom
! * total magnetization: 10.37 Bohr magnetons per cell
! * ΔH_f (0 K): -0.18 eV/atom

! PuCuGe3 PBE optimized geometry; values from VASP
&SYSTEM
  ibrav = 0, nat = 10, ntyp = 3
/
ATOMIC_SPECIES
Pu 244.00 Pu.upf
Cu 63.55 Cu.upf
Ge 72.64 Ge.upf
ATOMIC_POSITIONS crystal
Pu 0.1149 0.1149 0.0000
Pu 0.8851 0.8851 0.0000
Cu 0.2500 0.7500 0.5000
Cu 0.5000 0.5000 0.0000
Ge 0.3636 0.1382 0.7747
Ge 0.3636 0.5889 0.2253
Ge 0.4111 0.6364 0.7747
Ge 0.5104 0.0104 0.5000
Ge 0.8618 0.6364 0.2253
Ge 0.9896 0.4896 0.5000
CELL_PARAMETERS angstrom
-2.7202 2.7202 7.8376
2.7202 -2.7202 7.8376
2.7202 2.7202 -7.8376
! * calculated total energy: -62.99 eV per cell
! * volume: 23.20 A^3/atom
! * total magnetization: 11.40 Bohr magnetons per cell
! * ΔH_f (0 K): 0.16 eV/atom

! PuCu4Ge2 PBE optimized geometry; values from VASP
&SYSTEM
  ibrav = 0, nat = 7, ntyp = 3
/
ATOMIC_SPECIES
Pu 244.00 Pu.upf
Cu 63.55 Cu.upf
Ge 72.64 Ge.upf
ATOMIC_POSITIONS crystal
Pu 0.0000 0.0000 0.0000
Cu 0.1429 0.1429 0.1429
Cu 0.4387 0.4387 0.4387
Cu 0.5613 0.5613 0.5613
Cu 0.8571 0.8571 0.8571
Ge 0.2537 0.2537 0.2537
Ge 0.7463 0.7463 0.7463
CELL_PARAMETERS angstrom
2.0672 1.1935 7.5392
-2.0672 1.1935 7.5392
0.0000 -2.3870 7.5392
! * calculated total energy: -41.20 eV per cell
! * volume: 15.94 A^3/atom
! * total magnetization: 5.40 Bohr magnetons per cell
! * ΔH_f (0 K): -0.18 eV/atom